VASP calculation (PBE-GGA) on a geometry-optimized Na3BiP structure.

Cell: 5.404 5.404 5.404 Å, 90.00 90.00 90.00°
Each line ends with the local moment (μB).
Fractional coordinates of all 5 atoms:
P  0.000  0.000  0.000  0.18
Bi  0.500  0.500  0.500  0.64
Na  0.000  0.500  0.000  0.00
Na  0.000  0.000  0.500  0.00
Na  0.500  0.000  0.000  0.00

Computed properties:
crystal system = cubic
formation energy from the elements = 84 meV per atom
total energy = -2.566 eV per atom
energy above the lowest structure with this stoichiometry = 0.0 meV per atom
space-group type = Pm-3m